(1)
VASP calculation (PBE) on a relaxed Tm2Al8Ir crystal.

Structure (CIF):
```
data_Tm2Al8Ir
_cell_length_a 4.267
_cell_length_b 4.267
_cell_length_c 11.086
_cell_angle_alpha 90.00
_cell_angle_beta 90.00
_cell_angle_gamma 90.00
_space_group_name_H-M_alt 'P 4/m m m'
_space_group_IT_number 123
_space_group_name_Hall '-P 4 2'
loop_
_atom_site_label
_atom_site_type_symbol
_atom_site_fract_x
_atom_site_fract_y
_atom_site_fract_z
Tm1 Tm 0.000 0.000 0.190
Al1 Al 0.000 0.500 0.000
Al2 Al 0.000 0.500 0.378
Al3 Al 0.500 0.500 0.193
Ir1 Ir 0.000 0.000 0.500
```

## Properties
The value obtained for the energy is -4.88 eV per atom. The spin magnetization comes out at 0.0 μB/cell. The value obtained for the density of states at the Fermi level is 3.6 states/eV/f.u. The calculation puts the volume at 201.9 Å³ per cell. The energy relative to the elements comes out at -0.544 eV/atom.

=====

(2)
VASP calculation (PBE) on a relaxed Tm8AlIr2 crystal.

Structure (CIF):
```
data_Tm8AlIr2
_cell_length_a 8.624
_cell_length_b 12.944
_cell_length_c 5.353
_cell_angle_alpha 90.00
_cell_angle_beta 104.06
_cell_angle_gamma 90.00
_space_group_name_H-M_alt 'C 1 2/m 1'
_space_group_IT_number 12
loop_
_space_group_symop_operation_xyz
'x,y,z'
'-x,-y,-z'
'-x,y,-z'
'x,-y,z'
'x+1/2,y+1/2,z'
'-x+1/2,-y+1/2,-z'
'-x+1/2,y+1/2,-z'
'x+1/2,-y+1/2,z'
loop_
_atom_site_label
_atom_site_type_symbol
_atom_site_fract_x
_atom_site_fract_y
_atom_site_fract_z
Tm1 Tm 0.000 0.244 0.000
Tm2 Tm 0.120 0.500 0.804
Tm3 Tm 0.198 0.130 0.581
Al1 Al 0.000 0.000 0.000
Ir1 Ir 0.000 0.312 0.500
```

## Properties
The value obtained for the energy is -5.63 eV per atom. The spin magnetization comes out at 0.0 μB/cell. The value obtained for the density of states at the Fermi level is 10.9 states/eV/f.u. The calculation puts the volume at 579.7 Å³ per cell. The energy relative to the elements comes out at -0.431 eV/atom.